First-principles (GGA-PBE) data for an optimized crystal structure of Er4AgPd, as listed in Alexandria via LeMat-Bulk.

It has space group C2/m (No. 12), with a = 6.928 Å, b = 6.927 Å, c = 6.989 Å, α = 90.00°, β = 90.06° and γ = 90.00°. Symmetry generates all atoms from Er at (0.250, 0.250, 0.242), Ag at (0.000, 0.000, 0.500) and Pd at (0.000, 0.500, 0.000).

The polymorph energy (0 for the lowest one) comes out at 1.31 eV/f.u. As for the formation enthalpy at 0 K: -0.2308 eV/atom. The calculation puts the spin magnetization at 0.00 μB per formula unit. The value obtained for the raw total energy is -0.170 Ha/atom.